[1]
A relaxed structure of CaZr2PbO6. Source: Alexandria via LeMat-Bulk, functional PBEsol.

Cell lengths 8.168, 8.169, 8.169 Å; angles 89.32, 89.32, 89.30 degrees
Fractional positions:
Ca1 0.524 0.518 0.020
Ca2 0.520 0.025 0.022
Ca3 0.024 0.018 0.521
Ca4 0.020 0.525 0.022
Zr1 0.745 0.747 0.751
Zr2 0.247 0.251 0.244
Zr3 0.751 0.249 0.246
Zr4 0.244 0.246 0.750
Zr5 0.251 0.749 0.245
Zr6 0.745 0.242 0.750
Zr7 0.246 0.744 0.748
Zr8 0.747 0.749 0.243
Pb1 0.515 0.511 0.513
Pb2 0.015 0.008 0.012
Pb3 0.509 0.016 0.509
Pb4 0.008 0.515 0.514
O1 0.278 0.184 0.992
O2 0.188 0.993 0.276
O3 0.993 0.284 0.183
O4 0.699 0.762 0.491
O5 0.764 0.488 0.701
O6 0.489 0.685 0.779
O7 0.778 0.684 0.991
O8 0.684 0.988 0.784
O9 0.988 0.777 0.689
O10 0.199 0.262 0.491
O11 0.278 0.494 0.185
O12 0.493 0.201 0.264
O13 0.694 0.493 0.262
O14 0.489 0.263 0.697
O15 0.267 0.697 0.491
O16 0.990 0.193 0.763
O17 0.194 0.765 0.991
O18 0.763 0.994 0.194
O19 0.182 0.489 0.779
O20 0.493 0.778 0.180
O21 0.777 0.186 0.490
O22 0.993 0.700 0.261
O23 0.688 0.274 0.991
O24 0.261 0.989 0.700

Results
- energy (eV/cell) = -339.8
- volume (A^3/atom) = 13.624



[2]
A relaxed structure of TlCr2Os. Source: Alexandria via LeMat-Bulk, functional PBEsol.

Cell lengths 4.403, 4.403, 4.403 Å; angles 60.00, 60.00, 60.00 degrees
Site moments in Bohr magnetons follow the coordinates.
Fractional positions:
Cr1 0.000 0.000 0.000  2.68
Cr2 0.750 0.750 0.750  -2.17
Os1 0.500 0.500 0.500  0.22
Tl1 0.250 0.250 0.250  0.01

Results
- ΔH_f (0 K) (eV per atom) = 0.72
- energy above the most stable polymorph in this dataset (meV per atom) = 120
- volume (A^3/atom) = 15.089